A relaxed Ca3Nd3Rh4 crystal, computed with PBE.

Output
SG = Amm2
Crystal system = orthorhombic
ΔH_f (0 K) = -0.499 eV/atom

Cell: 3.758 8.083 8.083 Å, 90.90 90.00 90.00°
Fractional coordinates of all 10 atoms:
1 Ca 0.000 0.004 0.505
2 Nd 0.500 0.653 0.651
3 Rh 0.000 0.141 0.155
4 Nd 0.500 0.349 0.347
5 Rh 0.000 0.845 0.859
6 Nd 0.500 0.852 0.148
7 Ca 0.000 0.495 0.996
8 Rh 0.000 0.649 0.351
9 Rh 0.000 0.361 0.639
10 Ca 0.500 0.151 0.849

***

A relaxed CdCoTc2 crystal, computed with PBE.

Output
SG = Cmmm
Crystal system = orthorhombic
ΔH_f (0 K) = 0.513 eV/atom

Cell: 4.999 4.999 2.702 Å, 89.96 89.96 118.14°
Site moments in Bohr magnetons follow the coordinates.
Fractional coordinates of all 4 atoms:
1 Tc 0.000 0.000 0.000  -0.03
2 Co 0.000 0.500 0.500  1.08
3 Tc 0.500 0.500 0.000  -0.03
4 Cd 0.500 0.000 0.500  -0.01

***

A relaxed TaHgSbO6 crystal, computed with PBE.

Output
SG = Imma
Electronic total energy = -6.59 eV per atom
Crystal system = orthorhombic

Cell: 7.395 7.463 7.432 Å, 120.14 119.83 90.00°
Fractional coordinates of all 18 atoms:
1 Sb 0.500 0.000 0.000
2 O 0.817 0.072 0.253
3 Ta 0.500 0.000 0.500
4 O 0.811 0.061 0.621
5 O 0.564 0.319 0.747
6 Hg 0.786 0.536 0.572
7 O 0.577 0.327 0.154
8 Sb 0.500 0.500 0.000
9 O 0.183 0.928 0.747
10 O 0.189 0.939 0.379
11 O 0.436 0.072 0.253
12 Ta 0.000 0.000 0.500
13 O 0.817 0.681 0.253
14 O 0.564 0.928 0.747
15 Hg 0.214 0.464 0.428
16 O 0.183 0.319 0.747
17 O 0.423 0.673 0.846
18 O 0.436 0.681 0.253

***

A relaxed CaPaSn6 crystal, computed with PBE.

Output
SG = P4/mmm
Crystal system = tetragonal
ΔH_f (0 K) = -0.322 eV/atom

Cell: 4.669 4.669 9.534 Å, 90.00 90.00 90.00°
Fractional coordinates of all 8 atoms:
1 Sn 0.500 0.000 0.747
2 Sn 0.000 0.500 0.747
3 Sn 0.000 0.500 0.253
4 Ca 0.000 0.000 0.000
5 Pa 0.000 0.000 0.500
6 Sn 0.500 0.500 0.500
7 Sn 0.500 0.500 0.000
8 Sn 0.500 0.000 0.253